Density functional theory data (GGA-PBEsol) for a geometry-optimized FePbIO2 structure.

Output
- E_form (uncorrected) (eV per atom) = -0.19
- energy above the lowest structure with this stoichiometry (meV per atom) = 0

Lattice parameters (Å, degrees): 4.130 4.130 5.080 90.00 90.00 90.00
Sites, in units of the cell vectors:
Fe1 0.000 0.000 0.000
Pb1 0.500 0.500 0.500
I1 0.000 0.000 0.500
O1 0.000 0.500 0.000
O2 0.500 0.000 0.000